First-principles (GGA-PBE) data for SrC3Br after structural relaxation, as listed in Alexandria via LeMat-Bulk.

Unit cell a=5.299 b=5.299 c=5.299 alpha=90.00 beta=90.00 gamma=90.00
Fractional coordinates of all 5 atoms:
Sr (0.000, 0.000, 0.000)
C (0.000, 0.000, 0.500)
C (0.000, 0.500, 0.000)
C (0.500, 0.000, 0.000)
Br (0.500, 0.500, 0.500)

Summary:
distance to the lowest polymorph of the same formula = 728 meV per atom
raw formation energy = 3.420 eV/atom

First-principles (GGA-PBE) data for Cd2C after structural relaxation, as listed in Alexandria via LeMat-Bulk.

Unit cell a=5.133 b=5.133 c=5.133 alpha=111.74 beta=111.74 gamma=105.02
Fractional coordinates of all 6 atoms:
Cd (0.207, 0.707, 0.914)
Cd (0.293, 0.207, 0.500)
Cd (0.707, 0.793, 0.500)
Cd (0.793, 0.293, 0.086)
C (0.250, 0.250, 0.000)
C (0.750, 0.750, 0.000)

Summary:
distance to the lowest polymorph of the same formula = 580 meV per atom
ΔH_f (0 K) = 4.0 eV per formula unit

First-principles (GGA-PBE) data for Be2TcPt after structural relaxation, as listed in Alexandria via LeMat-Bulk.

Unit cell a=2.776 b=2.776 c=5.922 alpha=90.00 beta=90.00 gamma=90.00
Fractional coordinates of all 4 atoms:
Be (0.000, 0.000, 0.241)
Be (0.000, 0.000, 0.759)
Tc (0.500, 0.500, 0.500)
Pt (0.500, 0.500, 0.000)

Summary:
distance to the lowest polymorph of the same formula = 0 meV per atom
ΔH_f (0 K) = -1.5 eV per formula unit

First-principles (GGA-PBE) data for SrMg2Tc after structural relaxation, as listed in Alexandria via LeMat-Bulk.

Unit cell a=6.227 b=6.227 c=6.227 alpha=149.29 beta=129.30 gamma=60.45
Fractional coordinates of all 4 atoms:
Sr (0.000, 0.000, 0.000)
Mg (0.432, 0.432, 0.000)
Mg (0.711, 0.211, 0.500)
Tc (0.239, 0.739, 0.500)

Summary:
distance to the lowest polymorph of the same formula = 167 meV per atom
ΔH_f (0 K) = 2.1 eV per formula unit

First-principles (GGA-PBE) data for RbNaZn2Br6 after structural relaxation, as listed in Alexandria via LeMat-Bulk.

Unit cell a=10.513 b=10.513 c=7.116 alpha=99.25 beta=99.25 gamma=93.21
Fractional coordinates of all 20 atoms:
Rb (0.124, 0.876, 0.750)
Rb (0.876, 0.124, 0.250)
Na (0.397, 0.603, 0.250)
Na (0.603, 0.397, 0.750)
Zn (0.212, 0.376, 0.801)
Zn (0.376, 0.212, 0.301)
Zn (0.624, 0.788, 0.699)
Zn (0.788, 0.624, 0.199)
Br (0.049, 0.205, 0.719)
Br (0.175, 0.588, 0.949)
Br (0.205, 0.049, 0.219)
Br (0.320, 0.413, 0.513)
Br (0.412, 0.825, 0.551)
Br (0.413, 0.320, 0.013)
Br (0.587, 0.680, 0.987)
Br (0.588, 0.175, 0.449)
Br (0.680, 0.587, 0.487)
Br (0.795, 0.951, 0.781)
Br (0.825, 0.412, 0.051)
Br (0.951, 0.795, 0.281)

Summary:
raw formation energy = -1.186 eV/atom

First-principles (GGA-PBE) data for Ho3SnIr2 after structural relaxation, as listed in Alexandria via LeMat-Bulk.

Unit cell a=3.353 b=3.353 c=11.883 alpha=90.00 beta=90.00 gamma=90.00
Fractional coordinates of all 6 atoms:
Ho (0.000, 0.000, 0.000)
Ho (0.000, 0.000, 0.294)
Ho (0.000, 0.000, 0.706)
Sn (0.500, 0.500, 0.500)
Ir (0.500, 0.500, 0.152)
Ir (0.500, 0.500, 0.848)

Summary:
distance to the lowest polymorph of the same formula = 0 meV per atom
ΔH_f (0 K) = -4.8 eV per formula unit

Final energy: -13.93 -7.08 -25.37 -13.12 -26.73 -40.22 (eV per formula unit)
Total magnetic moment: 7.00 0.00 0.21 0.65 0.00 0.00 (μB per cell)
Density: 2.3 7.6 11.3 4.1 3.1 12.4 (g/cm³)